# 1
This record from the Alexandria database describes a geometry-optimized Y6Er2Tl structure. The functional is PBE-GGA.

Values from the calculation:
The calculation puts the energy relative to the lowest polymorph listed for this composition at 0.063 eV per atom. As for the final energy: -0.204 hartree per atom. The crystal system is monoclinic. For the formation energy, the calculation gives 0.023 eV per atom.

CIF file:
```
data_Y6Er2Tl
_chemical_formula_sum 'Y24 Er8 Tl4'
_space_group_name_H-M_alt 'C 1 2/c 1'
_space_group_IT_number 15
_cell_length_a 13.011
_cell_length_b 13.778
_cell_length_c 6.407
_cell_angle_alpha 90.00
_cell_angle_beta 94.88
_cell_angle_gamma 90.00
loop_
_space_group_symop_operation_xyz
'x,y,z'
'-x,-y,-z'
'-x,y,-z+1/2'
'x,-y,z+1/2'
'x+1/2,y+1/2,z'
'-x+1/2,-y+1/2,-z'
'-x+1/2,y+1/2,-z+1/2'
'x+1/2,-y+1/2,z+1/2'
loop_
_atom_site_label
_atom_site_fract_x
_atom_site_fract_y
_atom_site_fract_z
Y1 0.101 0.072 0.076
Y2 0.112 0.203 0.595
Y3 0.136 0.327 0.076
Er1 0.199 0.438 0.555
Tl1 0.000 0.486 0.750
```

# 2
This record from the Alexandria database describes a geometry-optimized Th2MnSi4Pt3 structure. The functional is PBE-GGA.

Values from the calculation:
Its formation energy (no corrections) is -1.01 eV/atom. As for the final energy: -0.271 hartree per atom. The crystal system is tetragonal.

CIF file:
```
data_Th2MnSi4Pt3
_chemical_formula_sum 'Th2 Mn1 Si4 Pt3'
_space_group_name_H-M_alt 'P -4 m 2'
_space_group_IT_number 115
_cell_length_a 4.218
_cell_length_b 4.218
_cell_length_c 9.894
_cell_angle_alpha 90.00
_cell_angle_beta 90.00
_cell_angle_gamma 90.00
loop_
_space_group_symop_operation_xyz
'x,y,z'
'y,-x,-z'
'-x,-y,z'
'-y,x,-z'
'-x,y,z'
'-y,-x,-z'
'x,-y,z'
'y,x,-z'
loop_
_atom_site_label
_atom_site_fract_x
_atom_site_fract_y
_atom_site_fract_z
Th1 0.000 0.500 0.244
Mn1 0.500 0.500 0.000
Si1 0.000 0.000 0.500
Si2 0.000 0.500 0.875
Si3 0.500 0.500 0.500
Pt1 0.000 0.000 0.000
Pt2 0.000 0.500 0.624
```

# 3
This record from the Alexandria database describes a geometry-optimized LiCu3P2 structure. The functional is PBE-GGA.

Values from the calculation:
As for the final energy: -0.162 hartree per atom. The crystal system is monoclinic. For the formation energy, the calculation gives -0.239 eV per atom.

CIF file:
```
data_LiCu3P2
_chemical_formula_sum 'Li4 Cu12 P8'
_space_group_name_H-M_alt 'C 1 2/m 1'
_space_group_IT_number 12
_cell_length_a 13.580
_cell_length_b 3.941
_cell_length_c 6.918
_cell_angle_alpha 90.00
_cell_angle_beta 120.62
_cell_angle_gamma 90.00
loop_
_space_group_symop_operation_xyz
'x,y,z'
'-x,-y,-z'
'-x,y,-z'
'x,-y,z'
'x+1/2,y+1/2,z'
'-x+1/2,-y+1/2,-z'
'-x+1/2,y+1/2,-z'
'x+1/2,-y+1/2,z'
loop_
_atom_site_label
_atom_site_fract_x
_atom_site_fract_y
_atom_site_fract_z
Li1 0.130 0.000 0.130
Cu1 0.001 0.000 0.326
Cu2 0.181 0.500 0.477
Cu3 0.181 0.500 0.885
P1 0.000 0.500 0.156
P2 0.190 0.000 0.690
```

# 4
This record from the Alexandria database describes a geometry-optimized BiPF2 structure. The functional is PBE-GGA.

Values from the calculation:
The calculation puts the energy relative to the lowest polymorph listed for this composition at 0.499 eV per atom. Its formation energy (no corrections) is -0.47 eV/atom. As for the final energy: -0.137 hartree per atom. The crystal system is trigonal.

CIF file:
```
data_BiPF2
_chemical_formula_sum 'Bi3 P3 F6'
_space_group_name_H-M_alt 'R -3 m'
_space_group_IT_number 166
_space_group_name_Hall '-R 3 2"'
_cell_length_a 3.6588
_cell_length_b 3.6588
_cell_length_c 18.4503
_cell_angle_alpha 90.00
_cell_angle_beta 90.00
_cell_angle_gamma 120.00
loop_
_atom_site_label
_atom_site_fract_x
_atom_site_fract_y
_atom_site_fract_z
Bi1 0.0000 0.0000 0.0000
P1 0.0000 0.0000 0.5000
F1 0.0000 0.0000 0.1975
```

# 5
This record from the Alexandria database describes a geometry-optimized Zn2HgPdC structure. The functional is PBE-GGA.

Values from the calculation:
As for the final energy: -0.075 hartree per atom. The crystal system is tetragonal. For the formation energy, the calculation gives 1.403 eV per atom.

CIF file:
```
data_Zn2HgPdC
_chemical_formula_sum 'Zn2 Hg1 Pd1 C1'
_space_group_name_H-M_alt 'P 4/m m m'
_space_group_IT_number 123
_space_group_name_Hall '-P 4 2'
_cell_length_a 4.825
_cell_length_b 4.825
_cell_length_c 5.278
_cell_angle_alpha 90.00
_cell_angle_beta 90.00
_cell_angle_gamma 90.00
loop_
_atom_site_label
_atom_site_fract_x
_atom_site_fract_y
_atom_site_fract_z
Zn1 0.000 0.500 0.000
Hg1 0.000 0.000 0.500
Pd1 0.000 0.000 0.000
C1 0.500 0.500 0.500
```

# 6
This record from the Alexandria database describes a geometry-optimized CsP2Pd structure. The functional is PBE-GGA.

Values from the calculation:
The calculation puts the energy relative to the lowest polymorph listed for this composition at 0.000 eV per atom. As for the final energy: -0.156 hartree per atom. The crystal system is trigonal. For the formation energy, the calculation gives -0.041 eV per atom.

CIF file:
```
data_CsP2Pd
_chemical_formula_sum 'Cs3 P6 Pd3'
_space_group_name_H-M_alt 'R -3 m'
_space_group_IT_number 166
_space_group_name_Hall '-R 3 2"'
_cell_length_a 4.1647
_cell_length_b 4.1647
_cell_length_c 23.8345
_cell_angle_alpha 90.00
_cell_angle_beta 90.00
_cell_angle_gamma 120.00
loop_
_atom_site_label
_atom_site_fract_x
_atom_site_fract_y
_atom_site_fract_z
Cs1 0.0000 0.0000 0.0000
P1 0.0000 0.0000 0.1412
Pd1 0.0000 0.0000 0.5000
```

# 7
This record from the Alexandria database describes a geometry-optimized CrCI2N structure. The functional is PBE-GGA.

Values from the calculation:
The calculation puts the energy relative to the lowest polymorph listed for this composition at 0.000 eV per atom. Its formation energy (no corrections) is 1.28 eV/atom. As for the final energy: -0.175 hartree per atom. The crystal system is tetragonal.

CIF file:
```
data_CrCI2N
_chemical_formula_sum 'Cr1 C1 I2 N1'
_space_group_name_H-M_alt 'P 4/m m m'
_space_group_IT_number 123
_space_group_name_Hall '-P 4 2'
_cell_length_a 6.526
_cell_length_b 6.526
_cell_length_c 2.703
_cell_angle_alpha 90.00
_cell_angle_beta 90.00
_cell_angle_gamma 90.00
loop_
_atom_site_label
_atom_site_fract_x
_atom_site_fract_y
_atom_site_fract_z
Cr1 0.000 0.000 0.000
C1 0.500 0.500 0.500
I1 0.000 0.500 0.500
N1 0.500 0.500 0.000
```

# 8
This record from the Alexandria database describes a geometry-optimized Hg3BPd structure. The functional is PBE-GGA.

Values from the calculation:
The calculation puts the energy relative to the lowest polymorph listed for this composition at 0.486 eV per atom. As for the final energy: -0.055 hartree per atom. The crystal system is cubic. For the formation energy, the calculation gives 1.069 eV per atom.

CIF file:
```
data_Hg3BPd
_chemical_formula_sum 'Hg3 B1 Pd1'
_space_group_name_H-M_alt 'P m -3 m'
_space_group_IT_number 221
_space_group_name_Hall '-P 4 2 3'
_cell_length_a 5.257
_cell_length_b 5.257
_cell_length_c 5.257
_cell_angle_alpha 90.00
_cell_angle_beta 90.00
_cell_angle_gamma 90.00
loop_
_atom_site_label
_atom_site_fract_x
_atom_site_fract_y
_atom_site_fract_z
Hg1 0.000 0.000 0.500
B1 0.500 0.500 0.500
Pd1 0.000 0.000 0.000
```

# 9
This record from the Alexandria database describes a geometry-optimized BeTlRh2 structure. The functional is PBE-GGA.

Values from the calculation:
The calculation puts the energy relative to the lowest polymorph listed for this composition at 0.000 eV per atom. As for the final energy: -0.196 hartree per atom. The crystal system is orthorhombic. For the formation energy, the calculation gives -0.137 eV per atom.

CIF file:
```
data_BeTlRh2
_chemical_formula_sum 'Be1 Tl1 Rh2'
_space_group_name_H-M_alt 'P m m m'
_space_group_IT_number 47
_cell_length_a 2.960
_cell_length_b 2.974
_cell_length_c 6.594
_cell_angle_alpha 90.00
_cell_angle_beta 90.00
_cell_angle_gamma 90.00
loop_
_space_group_symop_operation_xyz
'x,y,z'
'-x,-y,-z'
'-x,-y,z'
'x,y,-z'
'x,-y,-z'
'-x,y,z'
'-x,y,-z'
'x,-y,z'
loop_
_atom_site_label
_atom_site_fract_x
_atom_site_fract_y
_atom_site_fract_z
Be1 0.000 0.000 0.000
Tl1 0.000 0.000 0.500
Rh1 0.500 0.500 0.203
```

# 10
This record from the Alexandria database describes a geometry-optimized Ca3Ce3ScSe8 structure. The functional is PBE-GGA.

Values from the calculation:
Its formation energy (no corrections) is -1.85 eV/atom. As for the final energy: -0.210 hartree per atom. The crystal system is trigonal.

CIF file:
```
data_Ca3Ce3ScSe8
_chemical_formula_sum 'Ca9 Ce9 Sc3 Se24'
_space_group_name_H-M_alt 'R -3 m'
_space_group_IT_number 166
_space_group_name_Hall '-R 3 2"'
_cell_length_a 8.3346
_cell_length_b 8.3346
_cell_length_c 20.7587
_cell_angle_alpha 90.00
_cell_angle_beta 90.00
_cell_angle_gamma 120.00
loop_
_atom_site_label
_atom_site_fract_x
_atom_site_fract_y
_atom_site_fract_z
Ca1 0.0000 0.5000 0.0000
Ce1 0.0000 0.5000 0.5000
Sc1 0.0000 0.0000 0.5000
Se1 0.0000 0.0000 0.2524
Se2 0.0191 0.5095 0.2459
```